# 1
Material: Cd3Pt6Rh
Method: DFT, PBE-GGA
State: relaxed

Properties
- Spin magnetization: 0.0 μB/cell
- E_form: -15.4 kJ/mol of atoms

abc: 7.6146 4.6648 9.9927
angles: 90.00 110.13 90.00
Last column: nearest neighbours and their distance in Å.
Fractional positions:
Cd 0.0912 0.2500 0.2312  8 Pt 2.80-2.98, 1 Rh 2.85, 3 Cd 2.94-2.98
Cd 0.2977 0.2500 0.0258  11 Pt 2.86-2.92, 1 Cd 2.98
Cd 0.3103 0.7500 0.3744  9 Pt 2.79-2.96, 1 Rh 2.92, 2 Cd 2.94
Cd 0.6897 0.2500 0.6256  9 Pt 2.79-2.96, 1 Rh 2.92, 2 Cd 2.94
Cd 0.7023 0.7500 0.9742  11 Pt 2.86-2.92, 1 Cd 2.98
Cd 0.9088 0.7500 0.7688  8 Pt 2.80-2.98, 1 Rh 2.85, 3 Cd 2.94-2.98
Pt 0.1035 0.2500 0.7238  5 Pt 2.69-3.00, 3 Rh 2.76-2.81, 4 Cd 2.87-2.96
Pt 0.1057 0.7500 0.0708  5 Pt 2.82-3.00, 7 Cd 2.85-2.89
Pt 0.2898 0.2500 0.5385  4 Pt 2.69-2.85, 3 Rh 2.75-2.83, 4 Cd 2.86-2.92
Pt 0.3007 0.7500 0.8588  7 Pt 2.77-2.98, 4 Cd 2.80-2.87, 1 Rh 2.81
Pt 0.4929 0.7500 0.6687  6 Pt 2.77-3.06, 5 Cd 2.79-2.98, 1 Rh 2.85
Pt 0.4993 0.2500 0.8316  8 Pt 2.81-2.94, 4 Cd 2.86-2.90
Pt 0.5007 0.7500 0.1684  8 Pt 2.81-2.94, 4 Cd 2.86-2.90
Pt 0.5071 0.2500 0.3313  6 Pt 2.77-3.06, 5 Cd 2.79-2.98, 1 Rh 2.85
Pt 0.6993 0.2500 0.1412  7 Pt 2.77-2.98, 4 Cd 2.80-2.87, 1 Rh 2.81
Pt 0.7102 0.7500 0.4615  4 Pt 2.69-2.85, 3 Rh 2.75-2.83, 4 Cd 2.86-2.92
Pt 0.8943 0.2500 0.9292  5 Pt 2.82-3.00, 7 Cd 2.85-2.89
Pt 0.8965 0.7500 0.2762  5 Pt 2.69-3.00, 3 Rh 2.76-2.81, 4 Cd 2.87-2.96
Rh 0.0949 0.7500 0.5656  8 Pt 2.75-2.85, 2 Rh 2.82, 2 Cd 2.85-2.92
Rh 0.9051 0.2500 0.4344  8 Pt 2.75-2.85, 2 Rh 2.82, 2 Cd 2.85-2.92

=====

# 2
Material: K2Cu3AgF12
Method: DFT, PBE-GGA
State: relaxed

Properties
- Spin magnetization: 1.9 μB/cell
- ΔE_f (raw): -166.8 kJ per mole of atoms

abc: 7.2576 7.2576 7.2576
angles: 61.24 61.24 61.24
Last column: nearest neighbours and their distance in Å.
Fractional positions:
K 0.1249 0.1249 0.1249  3 F 2.89
K 0.8751 0.8751 0.8751  3 F 2.89
Cu 0.0000 0.5000 0.5000  6 F 1.91-1.94
Cu 0.5000 0.0000 0.5000  6 F 1.91-1.94
Cu 0.5000 0.5000 0.0000  6 F 1.91-1.94
Ag 0.5000 0.5000 0.5000  6 F 2.23
F 0.1327 0.5961 0.5961  1 Cu 1.91
F 0.1958 0.1958 0.5833  2 Cu 1.94
F 0.1958 0.5833 0.1958  2 Cu 1.94
F 0.4039 0.4039 0.8673  1 Cu 1.91
F 0.4039 0.8673 0.4039  1 Cu 1.91
F 0.4167 0.8042 0.8042  2 Cu 1.94
F 0.5833 0.1958 0.1958  2 Cu 1.94
F 0.5961 0.1327 0.5961  1 Cu 1.91
F 0.5961 0.5961 0.1327  1 Cu 1.91
F 0.8042 0.4167 0.8042  2 Cu 1.94
F 0.8042 0.8042 0.4167  2 Cu 1.94
F 0.8673 0.4039 0.4039  1 Cu 1.91

=====

# 3
Material: SrCrGa2Pd
Method: DFT, PBE-GGA
State: relaxed

Properties
- Spin magnetization: 3.4 μB/cell
- E_form: 44.3 kJ/mol of atoms

abc: 4.7649 4.7649 5.6507
angles: 90.00 90.00 90.00
Last column: nearest neighbours and their distance in Å.
Fractional positions:
Sr 0.0000 0.0000 0.0000  2 Cr 2.83
Cr 0.0000 0.0000 0.5000  4 Ga 2.38
Ga 0.0000 0.5000 0.5000  2 Cr 2.38
Ga 0.5000 0.0000 0.5000  2 Cr 2.38
Pd 0.5000 0.5000 0.0000  4 Sr 3.37, 8 Ga 3.70

=====

# 4
Material: Nd3Cd4
Method: DFT, PBE-GGA
State: relaxed

Properties
- Energy above the lowest structure with this stoichiometry: 171 meV per atom
- Spin magnetization: 0.0 μB/cell
- E_form: -12.0 kJ/mol of atoms

abc: 9.2457 9.2457 9.2457
angles: 33.64 33.64 33.64
Last column: nearest neighbours and their distance in Å.
Fractional positions:
Nd 0.0000 0.0000 0.0000  8 Cd 3.28-3.33
Nd 0.2484 0.2484 0.2484  8 Cd 3.22-3.47
Nd 0.7516 0.7516 0.7516  8 Cd 3.22-3.47
Cd 0.1254 0.1254 0.1254  5 Nd 3.22-3.28
Cd 0.3810 0.3810 0.3810  7 Nd 3.24-3.47
Cd 0.6190 0.6190 0.6190  7 Nd 3.24-3.47
Cd 0.8746 0.8746 0.8746  5 Nd 3.22-3.28

=====

# 5
Material: Dy5TlRh
Method: DFT, PBE-GGA
State: relaxed

Properties
- Spin magnetization: 0.0 μB/cell
- E_form: -24.4 kJ/mol of atoms

abc: 5.9443 5.9443 11.8418
angles: 102.19 102.19 78.09
Last column: nearest neighbours and their distance in Å.
Fractional positions:
Dy 0.0012 0.9988 0.7500  2 Rh 2.96, 1 Tl 3.05
Dy 0.0806 0.4183 0.6237  1 Rh 2.69
Dy 0.2129 0.5425 0.9369  1 Rh 2.77
Dy 0.4183 0.0806 0.1237  1 Rh 2.69
Dy 0.4575 0.7871 0.5631  1 Rh 2.77
Dy 0.5425 0.2129 0.4369  1 Rh 2.77
Dy 0.5817 0.9194 0.8763  1 Rh 2.69
Dy 0.7871 0.4575 0.0631  1 Rh 2.77
Dy 0.9194 0.5817 0.3763  1 Rh 2.69
Dy 0.9988 0.0012 0.2500  2 Rh 2.96, 1 Tl 3.05
Tl 0.4064 0.5936 0.2500  5 Dy 3.05-3.36
Tl 0.5936 0.4064 0.7500  5 Dy 3.05-3.36
Rh 0.0000 0.0000 0.0000  6 Dy 2.69-2.96
Rh 0.0000 0.0000 0.5000  6 Dy 2.69-2.96

=====

# 6
Material: LiZnTe2
Method: DFT, PBE-GGA
State: relaxed

Properties
- Spin magnetization: 0.0 μB/cell
- ΔE_f (raw): -13.2 kJ per mole of atoms

abc: 4.1596 4.7415 10.4448
angles: 90.00 90.00 90.00
Last column: nearest neighbours and their distance in Å.
Fractional positions:
Li 0.0000 0.0000 0.0000  4 Zn 2.90-3.12, 4 Te 2.94-3.16, 4 Li 3.15
Li 0.5000 0.5000 0.0000  4 Zn 2.90-3.12, 4 Te 2.94-3.16, 4 Li 3.15
Zn 0.0000 0.5000 0.1940  4 Li 2.90-3.12, 2 Te 3.12, 4 Zn 3.15
Zn 0.5000 0.0000 0.1940  4 Li 2.90-3.12, 2 Te 3.12, 4 Zn 3.15
Te 0.0000 0.0000 0.4164  4 Zn 3.12-3.32, 4 Te 3.15
Te 0.0000 0.5000 0.8004  4 Li 2.94-3.16, 4 Te 3.15
Te 0.5000 0.0000 0.8004  4 Li 2.94-3.16, 4 Te 3.15
Te 0.5000 0.5000 0.4164  4 Zn 3.12-3.32, 4 Te 3.15

=====

# 7
Material: V2ZnIn2
Method: DFT, PBE-GGA
State: relaxed

Properties
- Energy above the lowest structure with this stoichiometry: 1142 meV per atom
- Spin magnetization: 7.2 μB/cell
- E_form: 134.1 kJ/mol of atoms

abc: 5.2373 5.2373 5.3305
angles: 90.00 90.00 90.00
Last column: nearest neighbours and their distance in Å.
Fractional positions:
V 0.0000 0.5000 0.0000  2 In 2.62
V 0.5000 0.0000 0.0000  2 In 2.62
Zn 0.0000 0.0000 0.5000  4 In 3.70, 8 V 3.74
In 0.5000 0.5000 0.0000  4 V 2.62, 2 In 2.67
In 0.5000 0.5000 0.5000  2 In 2.67

=====

# 8
Material: LiAlOs
Method: DFT, PBE-GGA
State: relaxed

Properties
- Energy above the lowest structure with this stoichiometry: 0 meV per atom
- Spin magnetization: 0.0 μB/cell
- E_form: -16.1 kJ/mol of atoms

abc: 4.1978 4.1978 2.6139
angles: 90.00 90.00 120.00
Last column: nearest neighbours and their distance in Å.
Fractional positions:
Li 0.0000 0.0000 0.0000  3 Al 2.46, 2 Li 2.61, 3 Os 2.65
Al 0.3333 0.6667 0.8466  3 Li 2.46, 2 Al 2.61, 3 Os 2.68
Os 0.6667 0.3333 0.4114  2 Os 2.61, 6 Li 2.65-2.87, 6 Al 2.68-2.84

=====

# 9
Material: UOsRu
Method: DFT, PBE-GGA
State: relaxed

Properties
- Energy above the lowest structure with this stoichiometry: 0 meV per atom
- Spin magnetization: 0.0 μB/cell
- E_form: -14.2 kJ/mol of atoms

abc: 4.5615 4.5615 5.7065
angles: 90.00 90.00 120.00
Last column: nearest neighbours and their distance in Å.
Fractional positions:
U 0.3333 0.6667 0.2500  5 Ru 2.63-2.85
U 0.6667 0.3333 0.7500  5 Ru 2.63-2.85
Os 0.0000 0.0000 0.0000  2 Os 2.85, 6 Ru 3.00, 6 U 3.00
Os 0.0000 0.0000 0.5000  2 Os 2.85, 6 Ru 3.00, 6 U 3.00
Ru 0.3333 0.6667 0.7500  5 U 2.63-2.85
Ru 0.6667 0.3333 0.2500  5 U 2.63-2.85

=====

# 10
Material: Sc2SnPt
Method: DFT, PBE-GGA
State: relaxed

Properties
- Spin magnetization: 0.0 μB/cell
- E_form: -93.5 kJ/mol of atoms

abc: 5.7540 4.4445 7.0979
angles: 90.00 112.47 90.00
Last column: nearest neighbours and their distance in Å.
Fractional positions:
Sc 0.1649 0.2500 0.4335  3 Pt 2.75-2.81, 2 Sn 2.94
Sc 0.2553 0.2500 0.9168  3 Pt 2.84-2.91, 4 Sn 2.98-3.07
Sc 0.7447 0.7500 0.0832  3 Pt 2.84-2.91, 4 Sn 2.98-3.07
Sc 0.8351 0.7500 0.5665  3 Pt 2.75-2.81, 2 Sn 2.94
Sn 0.3037 0.7500 0.2257  3 Pt 2.89-3.21, 7 Sc 2.94-3.09
Sn 0.6963 0.2500 0.7743  3 Pt 2.89-3.21, 7 Sc 2.94-3.09
Pt 0.3498 0.7500 0.6908  6 Sc 2.75-2.91, 2 Sn 2.89
Pt 0.6502 0.2500 0.3092  6 Sc 2.75-2.91, 2 Sn 2.89

=====

# 11
Material: Th3Os2Ru4
Method: DFT, PBE-GGA
State: relaxed

Properties
- Spin magnetization: 0.0 μB/cell
- E_form: -29.4 kJ/mol of atoms

abc: 5.2259 5.3786 13.6205
angles: 88.91 88.32 63.36
Last column: nearest neighbours and their distance in Å.
Fractional positions:
Th 0.0034 0.4990 0.3751  7 Ru 3.05-3.27, 5 Os 3.16-3.27, 4 Th 3.23-3.40
Th 0.3322 0.8305 0.0422  9 Ru 3.04-3.27, 4 Th 3.22-3.39, 3 Os 3.24-3.27
Th 0.3408 0.8371 0.2904  8 Ru 3.05-3.27, 4 Th 3.23-3.39, 4 Os 3.24-3.27
Th 0.6592 0.1629 0.7096  8 Ru 3.05-3.27, 4 Th 3.23-3.39, 4 Os 3.24-3.27
Th 0.6678 0.1695 0.9578  9 Ru 3.04-3.27, 4 Th 3.22-3.39, 3 Os 3.24-3.27
Th 0.9966 0.5010 0.6249  7 Ru 3.05-3.27, 5 Os 3.16-3.27, 4 Th 3.23-3.40
Os 0.0000 0.0000 0.5000  2 Os 2.61, 4 Ru 2.77-2.79
Os 0.1635 0.6665 0.8338  6 Ru 2.61-2.69
Os 0.5000 0.0000 0.5000  2 Os 2.61, 4 Ru 2.69-2.71
Os 0.8365 0.3335 0.1662  6 Ru 2.61-2.69
Ru 0.0000 0.5000 0.0000  2 Os 2.67, 4 Ru 2.79
Ru 0.1633 0.1657 0.8336  2 Os 2.68-2.69, 4 Ru 2.78-2.79
Ru 0.3270 0.8312 0.6670  3 Os 2.68-2.77, 3 Ru 2.78-2.79
Ru 0.3357 0.3339 0.1664  2 Os 2.61-2.62, 4 Ru 2.78-2.79
Ru 0.5000 0.5000 0.5000  4 Os 2.69-2.79, 2 Ru 2.78
Ru 0.6643 0.6661 0.8336  2 Os 2.61-2.62, 4 Ru 2.78-2.79
Ru 0.6730 0.1688 0.3330  3 Os 2.68-2.77, 3 Ru 2.78-2.79
Ru 0.8367 0.8343 0.1664  2 Os 2.68-2.69, 4 Ru 2.78-2.79

=====

# 12
Material: Mg2Tc
Method: DFT, PBE-GGA
State: relaxed

Properties
- Energy above the lowest structure with this stoichiometry: 276 meV per atom
- Spin magnetization: 0.0 μB/cell
- E_form: 27.1 kJ/mol of atoms

abc: 2.7852 2.7852 28.2868
angles: 90.00 90.00 90.00
Last column: nearest neighbours and their distance in Å.
Fractional positions:
Mg 0.0000 0.2500 0.3006  4 Mg 2.79, 4 Tc 2.88
Mg 0.0000 0.2500 0.4494  4 Mg 2.79, 4 Tc 2.88
Mg 0.0000 0.7500 0.5506  4 Mg 2.79, 4 Tc 2.88
Mg 0.0000 0.7500 0.6994  4 Mg 2.79, 4 Tc 2.88
Mg 0.5000 0.2500 0.0506  4 Mg 2.79, 4 Tc 2.88
Mg 0.5000 0.2500 0.1994  4 Mg 2.79, 4 Tc 2.88
Mg 0.5000 0.7500 0.8006  4 Mg 2.79, 4 Tc 2.88
Mg 0.5000 0.7500 0.9494  4 Mg 2.79, 4 Tc 2.88
Tc 0.0000 0.2500 0.8750  4 Tc 2.79, 8 Mg 2.88
Tc 0.0000 0.7500 0.1250  4 Tc 2.79, 8 Mg 2.88
Tc 0.5000 0.2500 0.6250  4 Tc 2.79, 8 Mg 2.88
Tc 0.5000 0.7500 0.3750  4 Tc 2.79, 8 Mg 2.88